# SrTl2Cd

SrTl2Cd after structural relaxation (PBE, Alexandria).

Raw total energy = -8.057 eV/f.u.
Total moment = 0.000 μB per atom
SG = Pm (6)
Energy of formation = -0.182 eV per atom

POSCAR file:
```
SrTl2Cd
1.0
3.887 0.000 0.000
0.000 5.077 0.000
-1.384 0.000 6.405
Sr Tl Cd
1 2 1
direct
0.000 0.000 0.000
0.341 0.000 0.522
0.710 0.500 0.320
0.423 0.500 0.782
```

=====

# SrCoBr3

SrCoBr3 after structural relaxation (PBE, Alexandria).

Raw total energy = -18.426 eV/f.u.
Total moment = 0.393 μB per atom
SG = Pm-3m (221)
Formation energy (no corrections) = -89.14 kJ per mole of atoms
E above lowest polymorph = 0 meV/atom

POSCAR file:
```
SrCoBr3
1.0
5.109 0.000 0.000
0.000 5.109 0.000
0.000 0.000 5.109
Sr Co Br
1 1 3
direct
0.000 0.000 0.000
0.500 0.500 0.500
0.000 0.500 0.500
0.500 0.000 0.500
0.500 0.500 0.000
```

=====

# CeDySi2Pt2

CeDySi2Pt2 after structural relaxation (PBE, Alexandria).

Raw total energy = -40.272 eV/f.u.
Total moment = 0.000 μB per atom
SG = P-3m1 (164)
Formation energy (no corrections) = -109.49 kJ per mole of atoms

POSCAR file:
```
CeDySi2Pt2
1.0
4.217 0.000 0.000
-2.109 3.652 0.000
0.000 0.000 7.906
Ce Dy Si Pt
1 1 2 2
direct
0.000 0.000 0.000
0.000 0.000 0.500
0.333 0.667 0.247
0.667 0.333 0.753
0.333 0.667 0.738
0.667 0.333 0.262
```

=====

# ZrCr2HgC

ZrCr2HgC after structural relaxation (PBE, Alexandria).

Raw total energy = -34.626 eV/f.u.
Total moment = 0.577 μB per atom
SG = P4/mmm (123)
Energy of formation = 0.539 eV per atom

POSCAR file:
```
ZrCr2HgC
1.0
4.083 0.000 0.000
0.000 4.083 0.000
0.000 0.000 4.545
Zr Cr Hg C
1 2 1 1
direct
0.000 0.000 0.000
0.000 0.500 0.500
0.500 0.000 0.500
0.500 0.500 0.000
0.500 0.500 0.500
```

=====

# Dy2Cd3Pd2

Dy2Cd3Pd2 after structural relaxation (PBE, Alexandria).

Raw total energy = -26.534 eV/f.u.
Total moment = 0.000 μB per atom
SG = C2/m (12)
Energy of formation = -0.600 eV per atom
E above lowest polymorph = 0 meV/atom

POSCAR file:
```
Dy2Cd3Pd2
1.0
4.901 -2.239 0.000
4.901 2.239 0.000
-2.547 0.000 6.984
Dy Cd Pd
2 3 2
direct
0.139 0.139 0.282
0.861 0.861 0.718
0.372 0.372 0.059
0.500 0.500 0.500
0.628 0.628 0.941
0.155 0.155 0.691
0.845 0.845 0.309
```

=====

# GdHoCuSi

GdHoCuSi after structural relaxation (PBE, Alexandria).

Raw total energy = -29.897 eV/f.u.
Total moment = 1.879 μB per atom
SG = F-43m (216)
Formation energy (no corrections) = -41.48 kJ per mole of atoms

POSCAR file:
```
GdHoCuSi
1.0
0.000 3.496 3.496
3.496 0.000 3.496
3.496 3.496 0.000
Gd Ho Cu Si
1 1 1 1
direct
0.000 0.000 0.000
0.500 0.500 0.500
0.250 0.250 0.250
0.750 0.750 0.750
```

=====

# Ca4ZnCd2In

Ca4ZnCd2In after structural relaxation (PBE, Alexandria).

Raw total energy = -16.731 eV/f.u.
Total moment = 0.000 μB per atom
SG = R-3m (166)
Energy of formation = -0.360 eV per atom

POSCAR file:
```
Ca4ZnCd2In
1.0
2.688 1.552 8.818
-2.688 1.552 8.818
0.000 -3.104 8.818
Ca Zn Cd In
4 1 2 1
direct
0.122 0.122 0.122
0.373 0.373 0.373
0.627 0.627 0.627
0.878 0.878 0.878
0.000 0.000 0.000
0.249 0.249 0.249
0.751 0.751 0.751
0.500 0.500 0.500
```

=====

# Ac2HoMnSe5

Ac2HoMnSe5 after structural relaxation (PBE, Alexandria).

Raw total energy = -54.251 eV/f.u.
Total moment = 0.479 μB per atom
SG = Cmc2_1 (36)
Formation energy (no corrections) = -159.35 kJ per mole of atoms

POSCAR file:
```
Ac2HoMnSe5
1.0
2.119 -8.882 0.000
2.119 8.882 0.000
0.000 0.000 12.815
Ac Ho Mn Se
4 2 2 10
direct
0.121 0.879 0.500
0.122 0.878 0.858
0.878 0.122 0.358
0.879 0.121 0.000
0.185 0.815 0.183
0.815 0.185 0.683
0.444 0.556 0.596
0.556 0.444 0.096
0.024 0.976 0.189
0.304 0.696 0.837
0.307 0.693 0.527
0.346 0.654 0.178
0.498 0.502 0.922
0.502 0.498 0.422
0.654 0.346 0.678
0.693 0.307 0.027
0.696 0.304 0.337
0.976 0.024 0.689
```

=====

# SrMgIF2

SrMgIF2 after structural relaxation (PBE, Alexandria).

Raw total energy = -19.611 eV/f.u.
Total moment = 0.000 μB per atom
SG = P4/mmm (123)
Formation energy (no corrections) = -213.07 kJ per mole of atoms

POSCAR file:
```
SrMgIF2
1.0
4.648 0.000 0.000
0.000 4.648 0.000
0.000 0.000 7.028
Sr Mg I F
1 1 1 2
direct
0.000 0.000 0.000
0.500 0.500 0.500
0.000 0.000 0.500
0.000 0.500 0.000
0.500 0.000 0.000
```

=====

# KTeS

KTeS after structural relaxation (PBE, Alexandria).

Raw total energy = -10.082 eV/f.u.
Total moment = 0.000 μB per atom
SG = C2/m (12)
Formation energy (no corrections) = -55.17 kJ per mole of atoms
E above lowest polymorph = 0 meV/atom

POSCAR file:
```
KTeS
1.0
9.312 -2.108 0.000
9.312 2.108 0.000
-0.541 0.000 5.036
K Te S
2 2 2
direct
0.080 0.080 0.255
0.920 0.920 0.745
0.300 0.300 0.162
0.700 0.700 0.838
0.431 0.431 0.267
0.569 0.569 0.733
```

=====

# NbAgP2Pd

NbAgP2Pd after structural relaxation (PBE, Alexandria).

Raw total energy = -23.838 eV/f.u.
Total moment = 0.146 μB per atom
SG = P4/mmm (123)
Energy of formation = 1.019 eV per atom

POSCAR file:
```
NbAgP2Pd
1.0
4.537 0.000 0.000
0.000 4.537 0.000
0.000 0.000 5.115
Nb Ag P Pd
1 1 2 1
direct
0.000 0.000 0.000
0.500 0.500 0.000
0.000 0.500 0.500
0.500 0.000 0.500
0.000 0.000 0.500
```

=====

# PbSe2Br

PbSe2Br after structural relaxation (PBE, Alexandria).

Raw total energy = -13.029 eV/f.u.
Total moment = 0.000 μB per atom
SG = C2/m (12)
Formation energy (no corrections) = -16.36 kJ per mole of atoms
E above lowest polymorph = 166 meV/atom

POSCAR file:
```
PbSe2Br
1.0
6.473 -1.778 0.000
6.473 1.778 0.000
-0.793 0.000 5.192
Pb Se Br
1 2 1
direct
0.000 0.000 0.000
0.294 0.294 0.871
0.706 0.706 0.129
0.500 0.500 0.500
```

=====

Question: Which value of total moment does entry 9 give?
Answer: 0.000 μB per atom